CaTl2NiCl6, optimized geometry, DFT GGA-PBE; space group = R-3m (166)
1.0
-6.5530 0.4100 2.8537
-5.2481 -4.1973 -2.4683
-0.8112 -10.1326 8.5731
Cl Ni Ca Tl
12 2 2 4
Cartesian
-7.2830 -7.3756 2.2957 Cl
-3.0357 -9.7609 7.7059 Cl
-6.1573 -4.3730 -0.2364 Cl
-4.7049 -8.7487 4.1165 Cl
-5.7741 -11.9510 6.4179 Cl
-5.3292 -6.5443 6.6628 Cl
-6.8382 -1.9689 2.5405 Cl
-7.9073 -5.1713 4.8420 Cl
-9.5766 -4.1591 1.2526 Cl
-4.7720 -5.3674 3.4766 Cl
-7.8402 -8.5526 5.4818 Cl
-6.4550 -9.5470 9.1949 Cl
0.0000 0.0000 0.0000 Ni
-6.3061 -6.9600 4.4792 Ni
-5.5002 -9.2493 6.6587 Ca
-7.1120 -4.6707 2.2997 Ca
-10.5058 -7.4670 3.8885 Tl
-3.6647 -2.0265 0.8558 Tl
-2.1065 -6.4530 5.0700 Tl
-8.9475 -11.8935 8.1026 Tl

CaYNi2Cl, optimized geometry, DFT GGA-PBE; space group = P4/mmm (123); DOS(E_F) = 0.867 states/eV/atom
1.0
4.5536 0.0000 0.0000
0.0000 6.4646 0.0000
0.0000 0.0000 4.5536
Ca Ni Cl Y
1 2 1 1
Cartesian
0.0000 0.0000 0.0000 Ca
2.2768 0.0000 0.0000 Ni
0.0000 0.0000 2.2768 Ni
2.2768 3.2323 2.2768 Cl
0.0000 3.2323 0.0000 Y

Ca2NpCl8, optimized geometry, DFT GGA-PBE; energy above the lowest structure with this stoichiometry = 0.000 eV/f.u.; space group = C2/m (12); DOS(E_F) = 0.357 states/eV/atom
1.0
-3.4221 -1.9873 -5.0640
-3.7342 -2.5521 5.7446
-3.7014 5.8146 2.4389
Cl Ca Np
8 2 1
Cartesian
-3.6074 -1.0473 -2.6867 Cl
-7.2502 2.3225 5.8062 Cl
-5.7138 -0.9613 4.9823 Cl
-5.1639 -2.8707 0.1551 Cl
-5.6938 4.1459 2.9645 Cl
-6.9405 0.3321 0.7714 Cl
-5.1438 2.2365 -1.8628 Cl
-3.9171 0.9431 2.3481 Cl
-6.4094 1.2893 3.1996 Ca
-4.4483 -0.0141 -0.0800 Ca
0.0000 0.0000 0.0000 Np

Ca2NpCl8, optimized geometry, DFT GGA-PBE; energy above the lowest structure with this stoichiometry = 1.708 eV/f.u.; space group = C2/m (12); DOS(E_F) = 0.806 states/eV/atom
1.0
7.3778 0.2728 0.4095
-0.9245 6.9364 -0.3025
-0.9245 -2.9507 6.2848
Cl Ca Np
8 2 1
Cartesian
4.8794 1.4569 2.1867 Cl
4.7093 1.9514 5.9903 Cl
0.6493 2.8017 4.2052 Cl
0.8194 2.3072 0.4016 Cl
4.7093 4.7766 4.1079 Cl
2.7644 5.0198 1.2701 Cl
0.8194 -0.5180 2.2839 Cl
2.7644 -0.7612 5.1217 Cl
-0.9245 0.1313 4.2314 Ca
-0.9245 3.8544 1.7509 Ca
3.6889 0.1364 0.2047 Np

The evaluated uncorrected formation energy for the records listed, in turn: -1267; 897; -1981; -1826 meV per atom.